Entry 1:
# SrAgSb2

Crystalline SrAgSb2 at its relaxed geometry (PBE, Alexandria).

```
SrAgSb2
1.0
3.581 -4.288 0.000
3.581 4.288 0.000
0.000 0.000 3.618
Sr Ag Sb
1 1 2
Direct
0.000 0.000 0.000 Sr
0.500 0.500 0.000 Ag
0.000 0.500 0.500 Sb
0.500 0.000 0.500 Sb
```

formation energy without anion corrections	-1.12	eV/f.u.
theoretical density	6.56	Mg/m³
symmetry	Cmmm, No. 65



Entry 2:
# GaPt8Rh2

Crystalline GaPt8Rh2 at its relaxed geometry (PBE, Alexandria).

```
GaPt8Rh2
1.0
7.075 -1.978 0.000
7.075 1.978 0.000
-1.681 0.000 6.008
Ga Pt Rh
1 8 2
Direct
0.000 0.000 0.000 Ga
0.092 0.092 0.445 Pt
0.181 0.181 0.913 Pt
0.364 0.364 0.818 Pt
0.455 0.455 0.272 Pt
0.545 0.545 0.728 Pt
0.636 0.636 0.182 Pt
0.819 0.819 0.087 Pt
0.908 0.908 0.555 Pt
0.276 0.276 0.368 Rh
0.724 0.724 0.632 Rh
```

energy relative to the elements	-0.159	eV/atom
theoretical density	18.13	Mg/m³
energy above the lowest structure with this stoichiometry	0.00	eV/f.u.
symmetry	C2/m, No. 12



Entry 3:
# Ti3PtC

Crystalline Ti3PtC at its relaxed geometry (PBE, Alexandria).

```
Ti3PtC
1.0
5.228 0.000 0.000
0.947 5.184 0.000
0.547 2.205 5.290
Ti Pt C
6 2 2
Direct
0.000 0.000 0.000 Ti
0.041 0.046 0.473 Ti
0.244 0.507 0.892 Ti
0.537 0.058 0.719 Ti
0.709 0.502 0.138 Ti
0.765 0.556 0.616 Ti
0.226 0.502 0.384 Pt
0.499 0.989 0.274 Pt
0.626 0.268 0.935 C
0.884 0.775 0.811 C
```

energy relative to the elements	-0.658	eV/atom
theoretical density	8.12	Mg/m³
energy above the lowest structure with this stoichiometry	0.83	eV/f.u.
symmetry	P1, No. 1



Entry 4:
# Mg8Hg2Pt3

Crystalline Mg8Hg2Pt3 at its relaxed geometry (PBE, Alexandria).

```
Mg8Hg2Pt3
1.0
8.025 0.000 0.000
0.000 4.547 0.000
-2.889 0.000 7.498
Mg Hg Pt
8 2 3
Direct
0.110 0.000 0.390 Mg
0.132 0.500 0.857 Mg
0.358 0.500 0.632 Mg
0.383 0.000 0.116 Mg
0.617 0.000 0.884 Mg
0.642 0.500 0.368 Mg
0.868 0.500 0.143 Mg
0.890 0.000 0.610 Mg
0.250 0.500 0.250 Hg
0.750 0.500 0.750 Hg
0.253 0.000 0.753 Pt
0.500 0.500 0.000 Pt
0.747 0.000 0.247 Pt
```

energy relative to the elements	-0.497	eV/atom
theoretical density	7.17	Mg/m³
symmetry	P2/m, No. 10



Entry 5:
# AgTeCl2

Crystalline AgTeCl2 at its relaxed geometry (PBE, Alexandria).

```
AgTeCl2
1.0
1.802 -3.012 0.000
1.802 3.012 0.000
0.000 0.000 8.795
Ag Te Cl
1 1 2
Direct
0.000 0.000 0.000 Ag
0.000 0.000 0.500 Te
0.500 0.500 0.208 Cl
0.500 0.500 0.792 Cl
```

formation energy without anion corrections	-0.26	eV/f.u.
theoretical density	5.33	Mg/m³
energy above the lowest structure with this stoichiometry	1.11	eV/f.u.
symmetry	Cmmm, No. 65



Entry 6:
# HgSbOs2

Crystalline HgSbOs2 at its relaxed geometry (PBE, Alexandria).

```
HgSbOs2
1.0
2.869 0.000 0.000
0.000 3.627 0.000
0.000 0.000 7.800
Hg Sb Os
1 1 2
Direct
0.000 0.000 0.000 Hg
0.500 0.500 0.633 Sb
0.000 0.000 0.405 Os
0.500 0.500 0.251 Os
```

formation energy without anion corrections	2.22	eV/f.u.
theoretical density	14.38	Mg/m³
energy above the lowest structure with this stoichiometry	0.21	eV/f.u.
symmetry	Pmm2, No. 25



Entry 7:
# KCeTl2Br8

Crystalline KCeTl2Br8 at its relaxed geometry (PBE, Alexandria).

```
KCeTl2Br8
1.0
6.951 0.000 0.000
0.000 9.544 0.000
-0.072 0.000 7.352
K Ce Tl Br
1 1 2 8
Direct
0.000 0.000 0.000 K
0.000 0.500 0.000 Ce
0.500 0.244 0.500 Tl
0.500 0.756 0.500 Tl
0.230 0.500 0.318 Br
0.234 0.288 0.857 Br
0.234 0.712 0.857 Br
0.275 0.000 0.358 Br
0.725 0.000 0.642 Br
0.766 0.288 0.143 Br
0.766 0.712 0.143 Br
0.770 0.500 0.682 Br
```

formation energy without anion corrections	-14.48	eV/f.u.
theoretical density	4.18	Mg/m³
symmetry	P2/m, No. 10



Entry 8:
# Ti3H2

Crystalline Ti3H2 at its relaxed geometry (PBE, Alexandria).

```
Ti3H2
1.0
4.566 -2.238 0.000
4.566 2.238 0.000
-0.742 0.000 2.783
Ti H
3 2
Direct
0.000 0.000 0.000 Ti
0.322 0.322 0.320 Ti
0.678 0.678 0.680 Ti
0.267 0.733 0.500 H
0.733 0.267 0.500 H
```

theoretical density	4.25	Mg/m³
symmetry	C2/m, No. 12



Entry 9:
# BePRhS2

Crystalline BePRhS2 at its relaxed geometry (PBE, Alexandria).

```
BePRhS2
1.0
4.823 0.000 0.000
0.000 4.823 0.000
0.000 0.000 4.307
Be P Rh S
1 1 1 2
Direct
0.000 0.000 0.000 Be
0.500 0.500 0.000 P
0.500 0.500 0.500 Rh
0.000 0.500 0.500 S
0.500 0.000 0.500 S
```

formation energy without anion corrections	4.34	eV/f.u.
theoretical density	3.43	Mg/m³
energy above the lowest structure with this stoichiometry	1.32	eV/f.u.
symmetry	P4/mmm, No. 123



Entry 10:
# Zr5ScC6

Crystalline Zr5ScC6 at its relaxed geometry (PBE, Alexandria).

```
Zr5ScC6
1.0
2.887 -5.004 0.000
2.887 5.004 0.000
-1.922 0.000 5.445
Zr Sc C
5 1 6
Direct
0.000 0.000 0.000 Zr
0.167 0.833 0.500 Zr
0.334 0.666 0.000 Zr
0.666 0.334 0.000 Zr
0.833 0.167 0.500 Zr
0.500 0.500 0.500 Sc
0.081 0.416 0.249 C
0.249 0.249 0.751 C
0.416 0.081 0.249 C
0.584 0.919 0.751 C
0.751 0.751 0.249 C
0.919 0.584 0.751 C
```

energy relative to the elements	-0.722	eV/atom
theoretical density	6.05	Mg/m³
symmetry	C2/m, No. 12



Entry 11:
# LiNd6Tc2

Crystalline LiNd6Tc2 at its relaxed geometry (PBE, Alexandria).

```
LiNd6Tc2
1.0
-4.974 5.039 5.246
4.974 -5.039 5.246
4.974 5.039 -5.246
Li Nd Tc
2 12 4
Direct
0.000 0.000 0.000 Li
0.500 0.500 0.000 Li
0.106 0.810 0.295 Nd
0.212 0.310 0.521 Nd
0.212 0.690 0.902 Nd
0.279 0.069 0.790 Nd
0.279 0.490 0.210 Nd
0.485 0.190 0.295 Nd
0.515 0.810 0.705 Nd
0.721 0.510 0.790 Nd
0.721 0.931 0.210 Nd
0.788 0.310 0.098 Nd
0.788 0.690 0.479 Nd
0.894 0.190 0.705 Nd
0.113 0.613 0.500 Tc
0.500 0.122 0.622 Tc
0.500 0.878 0.378 Tc
0.887 0.387 0.500 Tc
```

energy relative to the elements	0.046	eV/atom
theoretical density	6.75	Mg/m³
symmetry	Immm, No. 71



Entry 12:
# Ag2SbI8

Crystalline Ag2SbI8 at its relaxed geometry (PBE, Alexandria).

```
Ag2SbI8
1.0
8.852 0.000 0.000
-4.426 7.666 0.000
0.000 0.000 7.540
Ag Sb I
2 1 8
Direct
0.333 0.667 0.301 Ag
0.667 0.333 0.699 Ag
0.000 0.000 0.500 Sb
0.151 0.303 0.260 I
0.151 0.849 0.260 I
0.303 0.151 0.740 I
0.333 0.667 0.929 I
0.667 0.333 0.071 I
0.697 0.849 0.260 I
0.849 0.151 0.740 I
0.849 0.697 0.740 I
```

formation energy without anion corrections	-0.05	eV/f.u.
theoretical density	4.39	Mg/m³
symmetry	P-3m1, No. 164



Entry 13:
# Sm6AgTe3As2

Crystalline Sm6AgTe3As2 at its relaxed geometry (PBE, Alexandria).

```
Sm6AgTe3As2
1.0
9.497 -2.148 0.000
9.497 2.148 0.000
-2.073 0.000 8.548
Sm Ag Te As
6 1 3 2
Direct
0.008 0.008 0.248 Sm
0.327 0.327 0.431 Sm
0.333 0.333 0.894 Sm
0.667 0.667 0.106 Sm
0.673 0.673 0.569 Sm
0.992 0.992 0.752 Sm
0.500 0.500 0.000 Ag
0.165 0.165 0.833 Te
0.500 0.500 0.500 Te
0.835 0.835 0.167 Te
0.168 0.168 0.336 As
0.832 0.832 0.664 As
```

formation energy without anion corrections	-15.22	eV/f.u.
theoretical density	7.34	Mg/m³
symmetry	C2/m, No. 12



Entry 14:
# DyNiS

Crystalline DyNiS at its relaxed geometry (PBE, Alexandria).

```
DyNiS
1.0
9.940 0.000 0.000
0.000 1.949 3.191
0.000 -1.949 3.191
Dy Ni S
2 2 2
Direct
0.183 0.000 0.000 Dy
0.817 0.000 0.000 Dy
0.000 0.352 0.352 Ni
0.500 0.115 0.115 Ni
0.339 0.342 0.342 S
0.661 0.342 0.342 S
```

formation energy without anion corrections	-1.98	eV/f.u.
theoretical density	6.80	Mg/m³
symmetry	Amm2, No. 38



Entry 15:
# Tm2ScBi

Crystalline Tm2ScBi at its relaxed geometry (PBE, Alexandria).

```
Tm2ScBi
1.0
2.278 -10.884 0.000
2.278 10.884 0.000
0.000 0.000 4.494
Tm Sc Bi
4 2 2
Direct
0.061 0.939 0.750 Tm
0.437 0.563 0.750 Tm
0.563 0.437 0.250 Tm
0.939 0.061 0.250 Tm
0.311 0.689 0.250 Sc
0.689 0.311 0.750 Sc
0.174 0.826 0.250 Bi
0.826 0.174 0.750 Bi
```

energy relative to the elements	-0.330	eV/atom
theoretical density	8.82	Mg/m³
energy above the lowest structure with this stoichiometry	0.05	eV/f.u.
symmetry	Cmcm, No. 63



Entry 16:
# Cd3GeRu

Crystalline Cd3GeRu at its relaxed geometry (PBE, Alexandria).

```
Cd3GeRu
1.0
5.133 0.000 0.000
0.000 5.133 0.000
0.000 0.000 5.133
Cd Ge Ru
3 1 1
Direct
0.000 0.000 0.500 Cd
0.000 0.500 0.000 Cd
0.500 0.000 0.000 Cd
0.500 0.500 0.500 Ge
0.000 0.000 0.000 Ru
```

energy relative to the elements	0.791	eV/atom
theoretical density	6.27	Mg/m³
energy above the lowest structure with this stoichiometry	0.00	eV/f.u.
symmetry	Pm-3m, No. 221



Entry 17:
# YNbTlO2

Crystalline YNbTlO2 at its relaxed geometry (PBE, Alexandria).

```
YNbTlO2
1.0
4.119 0.000 0.000
0.000 4.119 0.000
0.000 0.000 5.732
Y Nb Tl O
1 1 1 2
Direct
0.000 0.000 0.000 Y
0.500 0.500 0.500 Nb
0.500 0.500 0.000 Tl
0.000 0.500 0.500 O
0.500 0.000 0.500 O
```

formation energy without anion corrections	-5.60	eV/f.u.
theoretical density	7.14	Mg/m³
energy above the lowest structure with this stoichiometry	0.00	eV/f.u.
symmetry	P4/mmm, No. 123



Entry 18:
# BaLiGa4

Crystalline BaLiGa4 at its relaxed geometry (PBE, Alexandria).

```
BaLiGa4
1.0
-4.970 4.970 6.036
4.970 -4.970 6.036
4.970 4.970 -6.036
Ba Li Ga
4 4 16
Direct
0.171 0.171 0.000 Ba
0.250 0.750 0.500 Ba
0.750 0.250 0.500 Ba
0.829 0.829 0.000 Ba
0.306 0.500 0.806 Li
0.500 0.306 0.806 Li
0.500 0.694 0.194 Li
0.694 0.500 0.194 Li
0.122 0.311 0.433 Ga
0.122 0.689 0.810 Ga
0.134 0.134 0.588 Ga
0.134 0.545 0.000 Ga
0.311 0.122 0.433 Ga
0.311 0.878 0.190 Ga
0.455 0.455 0.588 Ga
0.455 0.866 0.000 Ga
0.545 0.134 0.000 Ga
0.545 0.545 0.412 Ga
0.689 0.122 0.810 Ga
0.689 0.878 0.567 Ga
0.866 0.455 0.000 Ga
0.866 0.866 0.412 Ga
0.878 0.311 0.190 Ga
0.878 0.689 0.567 Ga
```

energy relative to the elements	-0.265	eV/atom
theoretical density	4.71	Mg/m³
symmetry	I4/mmm, No. 139



Entry 19:
# LiZr2SiRh

Crystalline LiZr2SiRh at its relaxed geometry (PBE, Alexandria).

```
LiZr2SiRh
1.0
5.003 0.000 0.000
0.000 5.003 0.000
0.000 0.000 4.396
Li Zr Si Rh
1 2 1 1
Direct
0.000 0.000 0.000 Li
0.000 0.500 0.500 Zr
0.500 0.000 0.500 Zr
0.500 0.500 0.500 Si
0.500 0.500 0.000 Rh
```

formation energy without anion corrections	0.69	eV/f.u.
theoretical density	4.84	Mg/m³
symmetry	P4/mmm, No. 123



Number 1: E_tot -0.1276 Ha/atom, M_tot 0.00 μB/f.u.. Number 2: E_tot -0.2265 Ha/atom, M_tot 0.00 μB/f.u.. Number 3: E_tot -0.3105 Ha/atom, M_tot 0.00 μB/f.u.. Number 4: E_tot -0.1072 Ha/atom, M_tot 0.00 μB/f.u.. Number 5: E_tot -0.0914 Ha/atom, M_tot 0.00 μB/f.u.. Number 6: E_tot -0.2266 Ha/atom, M_tot 0.00 μB/f.u.. Number 7: E_tot -0.1213 Ha/atom, M_tot 0.00 μB/f.u.. Number 8: E_tot -0.2327 Ha/atom, M_tot 0.00 μB/f.u.. Number 9: E_tot -0.1499 Ha/atom, M_tot 0.00 μB/f.u.. Number 10: E_tot -0.3463 Ha/atom, M_tot 0.00 μB/f.u.. Number 11: E_tot -0.2076 Ha/atom, M_tot 0.00 μB/f.u.. Number 12: E_tot -0.0744 Ha/atom, M_tot 0.00 μB/f.u.. Number 13: E_tot -0.1994 Ha/atom, M_tot 0.00 μB/f.u.. Number 14: E_tot -0.2020 Ha/atom, M_tot 0.02 μB/f.u.. Number 15: E_tot -0.1881 Ha/atom, M_tot 0.00 μB/f.u.. Number 16: E_tot -0.0932 Ha/atom, M_tot 0.00 μB/f.u.. Number 17: E_tot -0.2530 Ha/atom, M_tot 0.00 μB/f.u.. Number 18: E_tot -0.1074 Ha/atom, M_tot 0.00 μB/f.u.. Number 19: E_tot -0.2286 Ha/atom, M_tot 0.00 μB/f.u..